Computed, not measured: TaCu3As after structural relaxation at the PBE level of DFT.

Geometry as POSCAR:
```
TaCu3As
1.0
4.3854 0.0000 0.0000
0.0000 4.3854 0.0000
0.0000 0.0000 4.3854
As Cu Ta
1 3 1
Direct
0.0000 0.0000 0.0000
0.0000 0.5000 0.0000
0.0000 0.0000 0.5000
0.5000 0.0000 0.0000
0.5000 0.5000 0.5000
```

* ΔE to the lowest computed polymorph: 0 meV/atom
* magnetization: 0.0000 μB per atom
* crystal system: cubic
* energy relative to the elements: 0.930 eV per atom

Computed, not measured: ZnAs2RhSe after structural relaxation at the PBE level of DFT.

Geometry as POSCAR:
```
ZnAs2RhSe
1.0
4.6782 0.0000 0.0000
0.0000 4.6782 0.0000
0.0000 0.0000 4.8600
As Rh Zn Se
2 1 1 1
Direct
0.0000 0.5000 0.0000
0.5000 0.0000 0.0000
0.5000 0.5000 0.5000
0.0000 0.0000 0.0000
0.0000 0.0000 0.5000
```

* ΔE to the lowest computed polymorph: 495 meV/atom
* ΔE_f (raw): 0.92 eV/atom
* magnetization: 0.0000 μB per atom
* crystal system: tetragonal

Computed, not measured: AlNi2B after structural relaxation at the PBE level of DFT.

Geometry as POSCAR:
```
AlNi2B
1.0
6.1758 0.0000 0.0000
0.0000 6.1758 0.0000
3.0879 3.0879 2.3328
Ni B Al
4 2 2
Direct
0.5358 0.1250 0.2500
0.2142 0.6250 0.2500
0.3750 0.4642 0.7500
0.8750 0.7858 0.7500
0.5000 0.5000 0.0000
0.2500 0.7500 0.5000
0.0000 0.0000 0.0000
0.7500 0.2500 0.5000
```

* ΔE to the lowest computed polymorph: 132 meV/atom
* magnetization: 0.0000 μB per atom
* crystal system: tetragonal
* energy relative to the elements: -0.148 eV per atom

Computed, not measured: NaPr2TeO6 after structural relaxation at the PBE level of DFT.

Geometry as POSCAR:
```
NaPr2TeO6
1.0
-5.7772 -0.6390 -1.2810
-2.9072 -4.8981 1.7270
-4.0969 0.3866 4.4563
Na Pr Te O
1 2 1 6
Direct
0.8048 0.8048 0.5857
0.5371 0.5371 0.3888
0.0308 0.0308 0.9077
0.3187 0.3187 0.0440
0.5870 0.2017 0.2469
0.2017 0.9644 0.2469
0.9644 0.5870 0.2469
0.4232 0.6617 0.7828
0.6617 0.1322 0.7828
0.1322 0.4232 0.7828
```

* ΔE_f (raw): -2.25 eV/atom
* magnetization: 0.0745 μB per atom
* crystal system: trigonal

Computed, not measured: AcBiOs after structural relaxation at the PBE level of DFT.

Geometry as POSCAR:
```
AcBiOs
1.0
4.4823 1.0981 0.4465
1.3029 4.4467 0.0572
-0.4815 -2.3984 10.5823
Os Ac Bi
2 2 2
Direct
0.8895 0.7199 0.8292
0.1105 0.2801 0.1708
0.3932 0.7155 0.3247
0.6068 0.2845 0.6753
0.7983 0.9042 0.1063
0.2017 0.0958 0.8937
```

* magnetization: 0.0000 μB per atom
* crystal system: triclinic
* energy relative to the elements: 0.301 eV per atom

Computed, not measured: RbHfZnMo2 after structural relaxation at the PBE level of DFT.

Geometry as POSCAR:
```
RbHfZnMo2
1.0
-2.7254 2.7395 2.6547
0.6303 -3.0450 3.7893
3.7668 2.4481 1.3408
Mo Hf Zn Rb
2 1 1 1
Direct
0.0000 0.0000 0.5000
0.5000 0.0000 0.0000
0.0000 0.5000 0.0000
0.5000 0.5000 0.5000
0.0000 0.0000 0.0000
```

* magnetization: 0.0000 μB per atom
* crystal system: tetragonal
* energy relative to the elements: 2.848 eV per atom

Computed, not measured: ErPaAgS6 after structural relaxation at the PBE level of DFT.

Geometry as POSCAR:
```
ErPaAgS6
1.0
6.0219 0.0000 0.0000
0.0000 6.5076 0.0000
0.0000 -3.2538 5.6357
Er Pa Ag S
1 1 1 6
Direct
0.5000 0.6667 0.3333
0.0000 0.3333 0.6667
0.5000 0.0000 0.0000
0.7506 0.6713 0.6766
0.7506 0.3234 0.9946
0.7506 0.0054 0.3287
0.2494 0.3234 0.3287
0.2494 0.6713 0.9946
0.2494 0.0054 0.6766
```

* ΔE_f (raw): -0.83 eV/atom
* magnetization: 0.0000 μB per atom
* crystal system: trigonal

Computed, not measured: FeTePb2 after structural relaxation at the PBE level of DFT.

Geometry as POSCAR:
```
FeTePb2
1.0
-1.0036 -2.3909 2.9836
-3.6102 -2.0773 -2.8789
3.4671 -3.6206 -1.7352
Fe Pb Te
1 2 1
Direct
0.0000 0.5000 0.5000
0.0000 0.0000 0.0000
0.5000 0.5000 0.0000
0.5000 0.0000 0.5000
```

* ΔE_f (raw): 0.51 eV/atom
* magnetization: 0.7418 μB per atom
* crystal system: orthorhombic

Computed, not measured: LiSc2Ru after structural relaxation at the PBE level of DFT.

Geometry as POSCAR:
```
LiSc2Ru
1.0
-0.0584 -1.5619 -9.4520
-2.9563 -2.4703 -8.7717
-2.3465 0.5401 -9.2729
Li Ru Sc
1 1 2
Direct
0.5137 0.5137 0.5137
0.2510 0.2510 0.2510
0.9834 0.9834 0.9834
0.7519 0.7519 0.7519
```

* ΔE to the lowest computed polymorph: 489 meV/atom
* magnetization: 0.1731 μB per atom
* crystal system: trigonal
* energy relative to the elements: 0.124 eV per atom

Computed, not measured: SbICl3 after structural relaxation at the PBE level of DFT.

Geometry as POSCAR:
```
SbICl3
1.0
-2.6300 0.2713 -4.6552
-4.6611 0.0020 2.6335
0.1352 5.3467 0.2352
I Sb Cl
1 1 3
Direct
0.5000 0.5000 0.5000
0.0000 0.0000 0.0000
0.0000 0.5000 0.0000
0.0000 0.0000 0.5000
0.5000 0.0000 0.0000
```

* ΔE to the lowest computed polymorph: 246 meV/atom
* ΔE_f (raw): -0.32 eV/atom
* magnetization: 0.2000 μB per atom
* crystal system: cubic

Computed, not measured: SrLa3Ru after structural relaxation at the PBE level of DFT.

Geometry as POSCAR:
```
SrLa3Ru
1.0
-3.1343 -1.3445 -2.0701
5.8214 -8.0647 -3.5763
-6.3566 2.3147 8.1212
Ru Sr La
1 1 3
Direct
0.0000 0.4087 0.5913
0.5000 0.1025 0.8975
0.5000 0.1600 0.3235
0.5000 0.6765 0.8400
0.0000 0.2804 0.7196
```

* ΔE to the lowest computed polymorph: 590 meV/atom
* magnetization: 0.1491 μB per atom
* crystal system: orthorhombic
* energy relative to the elements: 0.411 eV per atom

Computed, not measured: NaAl2CrPt after structural relaxation at the PBE level of DFT.

Geometry as POSCAR:
```
NaAl2CrPt
1.0
-1.6700 0.1126 -4.4333
1.2650 -4.3777 -0.5877
-4.2384 -1.4342 1.5602
Cr Al Pt Na
1 2 1 1
Direct
0.0000 0.0000 0.0000
0.0000 0.0000 0.5000
0.5000 0.0000 0.0000
0.0000 0.5000 0.0000
0.5000 0.5000 0.5000
```

* magnetization: 0.0483 μB per atom
* crystal system: tetragonal
* energy relative to the elements: 0.316 eV per atom

Computed, not measured: Be3As2H after structural relaxation at the PBE level of DFT.

Geometry as POSCAR:
```
Be3As2H
1.0
5.5611 -0.2331 -1.3934
-3.2112 4.5462 -1.3934
-0.3045 -0.5589 6.4772
Be As H
6 4 2
Direct
0.0387 0.0586 0.3676
0.0586 0.0387 0.8676
0.8303 0.3162 0.8755
0.3162 0.8303 0.3755
0.6152 0.8276 0.9127
0.8276 0.6152 0.4127
0.5813 0.4629 0.0066
0.8152 0.2567 0.4993
0.4629 0.5813 0.5066
0.2567 0.8152 0.9993
0.1640 0.9285 0.5095
0.9285 0.1640 0.0095
```

* calculated total energy: -23.17 eV/f.u.
* magnetization: 0.0000 μB per atom
* crystal system: monoclinic

Computed, not measured: SrTa2Re after structural relaxation at the PBE level of DFT.

Geometry as POSCAR:
```
SrTa2Re
1.0
6.0824 -0.0155 -0.0124
2.9261 5.3324 0.0124
-3.7025 -4.0169 2.6744
Re Sr Ta
1 1 2
Direct
0.7500 0.2500 0.5000
0.2500 0.7500 0.5000
0.9546 0.9546 0.0000
0.5454 0.5454 0.0000
```

* ΔE to the lowest computed polymorph: 211 meV/atom
* magnetization: 0.0000 μB per atom
* crystal system: orthorhombic
* energy relative to the elements: 0.688 eV per atom

Computed, not measured: Re2IrBr after structural relaxation at the PBE level of DFT.

Geometry as POSCAR:
```
Re2IrBr
1.0
2.8019 -0.0054 0.0000
-1.3430 2.4591 0.0000
0.0000 0.0000 9.8158
Re Ir Br
2 1 1
Direct
0.0000 0.0000 0.0044
0.5000 0.5000 0.2259
0.5000 0.5000 0.7782
0.0000 0.0000 0.4916
```

* ΔE to the lowest computed polymorph: 285 meV/atom
* ΔE_f (raw): 0.81 eV/atom
* magnetization: 0.0000 μB per atom
* crystal system: orthorhombic

Computed, not measured: Y2AsP after structural relaxation at the PBE level of DFT.

Geometry as POSCAR:
```
Y2AsP
1.0
3.7078 0.0000 0.0000
0.0000 3.5755 0.0056
0.0000 1.6026 6.9145
As P Y
1 1 2
Direct
0.5000 0.2500 0.2500
0.5000 0.7500 0.7500
0.0000 0.9854 0.9945
0.0000 0.5146 0.5055
```

* magnetization: 0.0000 μB per atom
* crystal system: monoclinic
* energy relative to the elements: -1.144 eV per atom

Computed, not measured: PaTiCo4 after structural relaxation at the PBE level of DFT.

Geometry as POSCAR:
```
PaTiCo4
1.0
-4.8209 -0.0772 -0.5338
-2.5255 -3.9215 1.3329
-2.8756 0.1780 3.9027
Pa Co Ti
1 4 1
Direct
0.2500 0.2500 0.2500
0.6259 0.6259 0.1223
0.6259 0.1223 0.6259
0.6259 0.6259 0.6259
0.1223 0.6259 0.6259
0.0000 0.0000 0.0000
```

* magnetization: 0.0000 μB per atom
* crystal system: cubic
* energy relative to the elements: -0.280 eV per atom

Computed, not measured: AgSb2S after structural relaxation at the PBE level of DFT.

Geometry as POSCAR:
```
AgSb2S
1.0
-4.5741 -1.3376 -3.6618
2.6938 -5.1652 -1.4781
-4.1041 -6.3572 2.5168
Sb S Ag
4 2 2
Direct
0.6251 0.1250 0.2500
0.1249 0.6250 0.2500
0.3750 0.3749 0.7500
0.8750 0.8751 0.7500
0.5000 0.5000 0.0000
0.2500 0.7500 0.5000
0.0000 0.0000 0.0000
0.7500 0.2500 0.5000
```

* ΔE_f (raw): 0.28 eV/atom
* magnetization: 0.0000 μB per atom
* crystal system: tetragonal

Computed, not measured: Ti2VTe after structural relaxation at the PBE level of DFT.

Geometry as POSCAR:
```
Ti2VTe
1.0
-2.7760 0.5916 -1.1794
-0.1606 -2.4190 1.8674
-0.3342 5.3724 6.4646
Ti V Te
2 1 1
Direct
0.7476 0.5462 0.2694
0.4211 0.3033 0.8351
0.0839 0.9250 0.0522
0.5839 0.9244 0.5523
```

* ΔE_f (raw): 0.05 eV/atom
* magnetization: 0.0000 μB per atom
* crystal system: triclinic

Computed, not measured: CaAcHoLu after structural relaxation at the PBE level of DFT.

Geometry as POSCAR:
```
CaAcHoLu
1.0
5.8798 0.0000 0.0000
2.9399 5.0920 0.0000
2.9399 1.6973 4.8008
Ac Lu Ho Ca
1 1 1 1
Direct
0.0000 0.0000 0.0000
0.7500 0.7500 0.7500
0.5000 0.5000 0.5000
0.2500 0.2500 0.2500
```

* magnetization: 0.0002 μB per atom
* crystal system: cubic
* energy relative to the elements: 0.130 eV per atom